## i
A plane-wave DFT calculation with PBE was carried out for a geometry-optimized Hg3PCl structure.

Calculated values
Total moment in μB/f.u.: 0.0

a = 10.630 Å, b = 10.630 Å, c = 10.630 Å
α = 107.93°, β = 107.93°, γ = 107.93°
Fractional coordinates of all 30 atoms:
Cl 0.079 0.963 0.716
Cl 0.963 0.716 0.079
Cl 0.716 0.079 0.963
Cl 0.284 0.921 0.037
Cl 0.921 0.037 0.284
Cl 0.037 0.284 0.921
P 0.606 0.885 0.479
P 0.394 0.115 0.521
P 0.885 0.479 0.606
P 0.115 0.521 0.394
P 0.479 0.606 0.885
P 0.521 0.394 0.115
Hg 0.617 0.068 0.373
Hg 0.245 0.596 0.248
Hg 0.383 0.932 0.627
Hg 0.596 0.248 0.245
Hg 0.705 0.820 0.074
Hg 0.404 0.752 0.755
Hg 0.752 0.755 0.404
Hg 0.932 0.627 0.383
Hg 0.068 0.373 0.617
Hg 0.180 0.926 0.295
Hg 0.074 0.705 0.820
Hg 0.627 0.383 0.932
Hg 0.248 0.245 0.596
Hg 0.755 0.404 0.752
Hg 0.373 0.617 0.068
Hg 0.820 0.074 0.705
Hg 0.295 0.180 0.926
Hg 0.926 0.295 0.180

## ii
A plane-wave DFT calculation with PBE was carried out for a geometry-optimized Hg3PCl structure.

Calculated values
Total moment in μB/f.u.: 0.0

a = 5.192 Å, b = 5.192 Å, c = 5.192 Å
α = 90.00°, β = 90.00°, γ = 90.00°
Fractional coordinates of all 5 atoms:
Hg 0.000 0.500 0.000
Hg 0.000 0.000 0.500
Hg 0.500 0.000 0.000
Cl 0.500 0.500 0.500
P 0.000 0.000 0.000

List of relative energies, unit kJ/mol of atoms: i 0.0; ii 3.2

## i
A plane-wave DFT calculation with PBE was carried out for a geometry-optimized HgPPbCl2 structure.

Calculated values
Total moment in μB/f.u.: 0.8

a = 5.438 Å, b = 5.438 Å, c = 5.352 Å
α = 90.00°, β = 90.00°, γ = 90.00°
Each line ends with the local moment (μB).
Fractional coordinates of all 5 atoms:
Hg 0.000 0.000 0.000  0.01
Cl 0.500 0.000 0.000  0.03
Cl 0.000 0.500 0.000  0.03
Pb 0.500 0.500 0.500  -0.04
P 0.000 0.000 0.500  0.36

## ii
A plane-wave DFT calculation with PBE was carried out for a geometry-optimized HgPPbCl2 structure.

Calculated values
Total moment in μB/f.u.: 2.0

a = 5.530 Å, b = 5.530 Å, c = 5.615 Å
α = 90.00°, β = 90.00°, γ = 90.00°
Each line ends with the local moment (μB).
Fractional coordinates of all 5 atoms:
Pb 0.000 0.000 0.000  0.01
Hg 0.500 0.500 0.500  0.05
P 0.000 0.000 0.500  0.80
Cl 0.500 0.000 0.000  0.03
Cl 0.000 0.500 0.000  0.03

List of relative energies, unit kJ/mol of atoms: i 13.1; ii 0.0

## i
A plane-wave DFT calculation with PBE was carried out for a geometry-optimized HgPPdCl2 structure.

Calculated values
Total moment in μB/f.u.: 0.9

a = 4.951 Å, b = 4.951 Å, c = 4.749 Å
α = 90.00°, β = 90.00°, γ = 90.00°
Each line ends with the local moment (μB).
Fractional coordinates of all 5 atoms:
Cl 0.500 0.000 0.000  0.03
Cl 0.000 0.500 0.000  0.03
Pd 0.000 0.000 0.000  0.06
Hg 0.500 0.500 0.500  -0.03
P 0.000 0.000 0.500  0.37

## ii
A plane-wave DFT calculation with PBE was carried out for a geometry-optimized HgPPdCl2 structure.

Calculated values
Total moment in μB/f.u.: 1.3

a = 5.260 Å, b = 5.260 Å, c = 5.049 Å
α = 90.00°, β = 90.00°, γ = 90.00°
Each line ends with the local moment (μB).
Fractional coordinates of all 5 atoms:
P 0.000 0.000 0.500  0.61
Cl 0.000 0.500 0.000  0.07
Cl 0.500 0.000 0.000  0.07
Pd 0.500 0.500 0.500  -0.24
Hg 0.000 0.000 0.000  0.02

List of relative energies, unit kJ/mol of atoms: i 0.0; ii 60.9

## i
A plane-wave DFT calculation with PBE was carried out for a geometry-optimized RbHgP2Cl structure.

Calculated values
Total moment in μB/f.u.: 5.9

a = 7.617 Å, b = 7.617 Å, c = 6.001 Å
α = 90.00°, β = 90.00°, γ = 90.00°
Each line ends with the local moment (μB).
Fractional coordinates of all 5 atoms:
P 0.500 0.000 0.000  1.20
P 0.000 0.500 0.000  1.20
Cl 0.000 0.000 0.500  -0.04
Hg 0.500 0.500 0.500  0.02
Rb 0.000 0.000 0.000  0.01

## ii
A plane-wave DFT calculation with PBE was carried out for a geometry-optimized RbHgP2Cl structure.

Calculated values
Total moment in μB/f.u.: 1.8

a = 5.013 Å, b = 5.013 Å, c = 6.463 Å
α = 90.00°, β = 90.00°, γ = 90.00°
Each line ends with the local moment (μB).
Fractional coordinates of all 5 atoms:
Cl 0.000 0.000 0.500  0.09
P 0.000 0.500 0.000  0.35
P 0.500 0.000 0.000  0.35
Hg 0.000 0.000 0.000  0.04
Rb 0.500 0.500 0.500  0.00

List of relative energies, unit kJ/mol of atoms: i 59.5; ii 0.0

## i
A plane-wave DFT calculation with PBE was carried out for a geometry-optimized HgP2RhCl structure.

Calculated values
Total moment in μB/f.u.: 0.0

a = 4.587 Å, b = 4.587 Å, c = 5.152 Å
α = 90.00°, β = 90.00°, γ = 90.00°
Fractional coordinates of all 5 atoms:
Rh 0.000 0.000 0.000
Cl 0.000 0.000 0.500
Hg 0.500 0.500 0.500
P 0.500 0.000 0.000
P 0.000 0.500 0.000

## ii
A plane-wave DFT calculation with PBE was carried out for a geometry-optimized HgP2RhCl structure.

Calculated values
Total moment in μB/f.u.: 0.9

a = 4.909 Å, b = 4.909 Å, c = 5.237 Å
α = 90.00°, β = 90.00°, γ = 90.00°
Each line ends with the local moment (μB).
Fractional coordinates of all 5 atoms:
Cl 0.000 0.000 0.500  0.04
Rh 0.500 0.500 0.500  1.12
P 0.000 0.500 0.000  -0.07
P 0.500 0.000 0.000  -0.07
Hg 0.000 0.000 0.000  -0.01

List of relative energies, unit kJ/mol of atoms: i 0.0; ii 111.4

## i
A plane-wave DFT calculation with PBE was carried out for a geometry-optimized HgP2RuCl structure.

Calculated values
Total moment in μB/f.u.: 0.0

a = 4.561 Å, b = 4.561 Å, c = 5.155 Å
α = 90.00°, β = 90.00°, γ = 90.00°
Fractional coordinates of all 5 atoms:
P 0.000 0.500 0.000
P 0.500 0.000 0.000
Hg 0.500 0.500 0.500
Cl 0.000 0.000 0.500
Ru 0.000 0.000 0.000

## ii
A plane-wave DFT calculation with PBE was carried out for a geometry-optimized HgP2RuCl structure.

Calculated values
Total moment in μB/f.u.: 2.4

a = 4.931 Å, b = 4.931 Å, c = 5.243 Å
α = 90.00°, β = 90.00°, γ = 90.00°
Each line ends with the local moment (μB).
Fractional coordinates of all 5 atoms:
Hg 0.000 0.000 0.000  -0.01
Cl 0.000 0.000 0.500  0.03
Ru 0.500 0.500 0.500  2.59
P 0.000 0.500 0.000  -0.12
P 0.500 0.000 0.000  -0.12

List of relative energies, unit kJ/mol of atoms: i 0.0; ii 128.0

## i
A plane-wave DFT calculation with PBE was carried out for a geometry-optimized HgPSCl2 structure.

Calculated values
Total moment in μB/f.u.: 0.0

a = 4.787 Å, b = 4.787 Å, c = 4.798 Å
α = 90.00°, β = 90.00°, γ = 90.00°
Fractional coordinates of all 5 atoms:
Hg 0.500 0.500 0.500
S 0.000 0.000 0.500
Cl 0.500 0.000 0.000
Cl 0.000 0.500 0.000
P 0.000 0.000 0.000

## ii
A plane-wave DFT calculation with PBE was carried out for a geometry-optimized HgPSCl2 structure.

Calculated values
Total moment in μB/f.u.: 0.6

a = 5.004 Å, b = 5.004 Å, c = 4.704 Å
α = 90.00°, β = 90.00°, γ = 90.00°
Each line ends with the local moment (μB).
Fractional coordinates of all 5 atoms:
S 0.000 0.000 0.000  -0.03
Cl 0.500 0.000 0.000  0.02
Cl 0.000 0.500 0.000  0.02
P 0.000 0.000 0.500  0.29
Hg 0.500 0.500 0.500  -0.03

List of relative energies, unit kJ/mol of atoms: i 0.0; ii 38.7

## i
A plane-wave DFT calculation with PBE was carried out for a geometry-optimized SnHgP2Cl structure.

Calculated values
Total moment in μB/f.u.: 0.8

a = 4.946 Å, b = 4.946 Å, c = 5.537 Å
α = 90.00°, β = 90.00°, γ = 90.00°
Each line ends with the local moment (μB).
Fractional coordinates of all 5 atoms:
Cl 0.000 0.000 0.500  0.05
Hg 0.000 0.000 0.000  0.01
P 0.000 0.500 0.000  0.17
P 0.500 0.000 0.000  0.17
Sn 0.500 0.500 0.500  -0.02

## ii
A plane-wave DFT calculation with PBE was carried out for a geometry-optimized SnHgP2Cl structure.

Calculated values
Total moment in μB/f.u.: 1.9

a = 5.187 Å, b = 5.187 Å, c = 5.230 Å
α = 90.00°, β = 90.00°, γ = 90.00°
Each line ends with the local moment (μB).
Fractional coordinates of all 5 atoms:
Cl 0.000 0.000 0.500  0.06
Sn 0.000 0.000 0.000  0.00
P 0.500 0.000 0.000  0.38
P 0.000 0.500 0.000  0.38
Hg 0.500 0.500 0.500  0.04

List of relative energies, unit kJ/mol of atoms: i 12.4; ii 0.0

## i
A plane-wave DFT calculation with PBE was carried out for a geometry-optimized TiHgPCl2 structure.

Calculated values
Total moment in μB/f.u.: 0.3

a = 5.084 Å, b = 5.084 Å, c = 5.162 Å
α = 90.00°, β = 90.00°, γ = 90.00°
Each line ends with the local moment (μB).
Fractional coordinates of all 5 atoms:
Cl 0.000 0.500 0.000  -0.01
Cl 0.500 0.000 0.000  -0.01
Hg 0.000 0.000 0.000  0.00
Ti 0.500 0.500 0.500  0.02
P 0.000 0.000 0.500  -0.14

## ii
A plane-wave DFT calculation with PBE was carried out for a geometry-optimized TiHgPCl2 structure.

Calculated values
Total moment in μB/f.u.: 0.0

a = 4.704 Å, b = 4.704 Å, c = 5.117 Å
α = 90.00°, β = 90.00°, γ = 90.00°
Fractional coordinates of all 5 atoms:
Cl 0.500 0.000 0.000
Cl 0.000 0.500 0.000
Hg 0.500 0.500 0.500
Ti 0.000 0.000 0.000
P 0.000 0.000 0.500

List of relative energies, unit kJ/mol of atoms: i 117.4; ii 0.0

## i
A plane-wave DFT calculation with PBE was carried out for a geometry-optimized TlHgPCl2 structure.

Calculated values
Total moment in μB/f.u.: 1.8

a = 5.419 Å, b = 5.419 Å, c = 5.429 Å
α = 90.00°, β = 90.00°, γ = 90.00°
Each line ends with the local moment (μB).
Fractional coordinates of all 5 atoms:
P 0.000 0.000 0.500  0.75
Cl 0.000 0.500 0.000  0.02
Cl 0.500 0.000 0.000  0.02
Hg 0.500 0.500 0.500  0.00
Tl 0.000 0.000 0.000  0.01

## ii
A plane-wave DFT calculation with PBE was carried out for a geometry-optimized TlHgPCl2 structure.

Calculated values
Total moment in μB/f.u.: 2.0

a = 5.691 Å, b = 5.691 Å, c = 4.942 Å
α = 90.00°, β = 90.00°, γ = 90.00°
Each line ends with the local moment (μB).
Fractional coordinates of all 5 atoms:
Hg 0.000 0.000 0.000  0.04
P 0.000 0.000 0.500  0.76
Cl 0.000 0.500 0.000  0.07
Cl 0.500 0.000 0.000  0.07
Tl 0.500 0.500 0.500  0.01

List of relative energies, unit kJ/mol of atoms: i 19.1; ii 0.0

## i
A plane-wave DFT calculation with PBE was carried out for a geometry-optimized TlHgP2Cl structure.

Calculated values
Total moment in μB/f.u.: 3.2

a = 5.343 Å, b = 5.343 Å, c = 5.517 Å
α = 90.00°, β = 90.00°, γ = 90.00°
Each line ends with the local moment (μB).
Fractional coordinates of all 5 atoms:
P 0.500 0.000 0.000  0.64
P 0.000 0.500 0.000  0.64
Cl 0.000 0.000 0.500  0.08
Tl 0.000 0.000 0.000  0.01
Hg 0.500 0.500 0.500  0.11

## ii
A plane-wave DFT calculation with PBE was carried out for a geometry-optimized TlHgP2Cl structure.

Calculated values
Total moment in μB/f.u.: 1.8

a = 4.993 Å, b = 4.993 Å, c = 6.078 Å
α = 90.00°, β = 90.00°, γ = 90.00°
Each line ends with the local moment (μB).
Fractional coordinates of all 5 atoms:
Tl 0.500 0.500 0.500  0.01
P 0.500 0.000 0.000  0.35
P 0.000 0.500 0.000  0.35
Hg 0.000 0.000 0.000  0.05
Cl 0.000 0.000 0.500  0.09

List of relative energies, unit kJ/mol of atoms: i 23.7; ii 0.0

## i
A plane-wave DFT calculation with PBE was carried out for a geometry-optimized HgPWCl2 structure.

Calculated values
Total moment in μB/f.u.: 0.4

a = 4.885 Å, b = 4.885 Å, c = 4.774 Å
α = 90.00°, β = 90.00°, γ = 90.00°
Each line ends with the local moment (μB).
Fractional coordinates of all 5 atoms:
P 0.000 0.000 0.500  -0.03
Cl 0.000 0.500 0.000  0.02
Cl 0.500 0.000 0.000  0.02
Hg 0.500 0.500 0.500  0.00
W 0.000 0.000 0.000  0.32

## ii
A plane-wave DFT calculation with PBE was carried out for a geometry-optimized HgPWCl2 structure.

Calculated values
Total moment in μB/f.u.: 3.5

a = 5.035 Å, b = 5.035 Å, c = 5.268 Å
α = 90.00°, β = 90.00°, γ = 90.00°
Each line ends with the local moment (μB).
Fractional coordinates of all 5 atoms:
W 0.500 0.500 0.500  3.31
Cl 0.500 0.000 0.000  -0.01
Cl 0.000 0.500 0.000  -0.01
P 0.000 0.000 0.500  -0.44
Hg 0.000 0.000 0.000  -0.01

List of relative energies, unit kJ/mol of atoms: i 0.0; ii 131.4

## i
A plane-wave DFT calculation with PBE was carried out for a geometry-optimized HgP2WCl structure.

Calculated values
Total moment in μB/f.u.: 0.0

a = 4.722 Å, b = 4.722 Å, c = 5.002 Å
α = 90.00°, β = 90.00°, γ = 90.00°
Fractional coordinates of all 5 atoms:
Cl 0.000 0.000 0.500
P 0.000 0.500 0.000
P 0.500 0.000 0.000
Hg 0.500 0.500 0.500
W 0.000 0.000 0.000

## ii
A plane-wave DFT calculation with PBE was carried out for a geometry-optimized HgP2WCl structure.

Calculated values
Total moment in μB/f.u.: 2.9

a = 4.966 Å, b = 4.966 Å, c = 4.971 Å
α = 90.00°, β = 90.00°, γ = 90.00°
Each line ends with the local moment (μB).
Fractional coordinates of all 5 atoms:
Cl 0.000 0.000 0.500  -0.02
P 0.500 0.000 0.000  -0.27
P 0.000 0.500 0.000  -0.27
Hg 0.000 0.000 0.000  -0.01
W 0.500 0.500 0.500  3.03

List of relative energies, unit kJ/mol of atoms: i 0.0; ii 151.2